Density functional theory data (PBE) for an optimized crystal structure of DyTiCuOs.

The structure in POSCAR format:
```
DyTiCuOs
1.0
4.619 0.000 0.000
2.309 4.000 0.000
2.309 1.333 3.771
Os Cu Dy Ti
1 1 1 1
direct
0.500 0.500 0.500
0.000 0.000 0.000
0.750 0.750 0.750
0.250 0.250 0.250
```

Crystal system = cubic
Magnetic moment = 0.00 μB per atom
VASP energy = -28.49 eV for the cell shown
Energy relative to the elements = -167 meV per atom
D(E_F) = 3.6 states/eV/cell